No. 1
# GGA-PBE Ho3RuPb, optimized geometry
# Uncorrected energy, eV per atom: -5.742
# Fermi-level density of states, states/eV per atom: 0.653
# Calculated formation energy, eV/atom: -0.40
data_Ho3RuPb
_chemical_formula_sum 'Ho24 Ru8 Pb8'
_cell_length_a 6.538
_cell_length_b 9.774
_cell_length_c 16.520
_cell_angle_alpha 90.00
_cell_angle_beta 90.00
_cell_angle_gamma 90.00
_space_group_name_H-M_alt 'F m m m'
_space_group_IT_number 69
_space_group_name_Hall '-F 2 2'
loop_
_atom_site_label
_atom_site_type_symbol
_atom_site_fract_x
_atom_site_fract_y
_atom_site_fract_z
Ho1 Ho 0.000 0.000 0.199
Ho2 Ho 0.000 0.186 0.381
Ru1 Ru 0.250 0.250 0.250
Pb1 Pb 0.221 0.000 0.000

***

No. 2
# GGA-PBE LiAlGaNi, optimized geometry
# Uncorrected energy, eV per atom: -4.043
# Fermi-level density of states, states/eV per atom: 0.220
# Calculated formation energy, eV/atom: -0.43
data_LiAlGaNi
_chemical_formula_sum 'Li4 Al4 Ga4 Ni4'
_cell_length_a 5.894
_cell_length_b 5.894
_cell_length_c 5.894
_cell_angle_alpha 90.00
_cell_angle_beta 90.00
_cell_angle_gamma 90.00
_space_group_name_H-M_alt 'F -4 3 m'
_space_group_IT_number 216
_space_group_name_Hall 'F -4 2 3'
loop_
_atom_site_label
_atom_site_type_symbol
_atom_site_fract_x
_atom_site_fract_y
_atom_site_fract_z
Li1 Li 0.000 0.000 0.000
Al1 Al 0.250 0.250 0.750
Ga1 Ga 0.250 0.250 0.250
Ni1 Ni 0.000 0.000 0.500

***

No. 3
# GGA-PBE ScNi2GeB, optimized geometry
# Uncorrected energy, eV per atom: -4.492
# Fermi-level density of states, states/eV per atom: 0.578
# Calculated formation energy, eV/atom: 1.35
data_ScNi2GeB
_chemical_formula_sum 'Sc1 Ni2 Ge1 B1'
_cell_length_a 4.519
_cell_length_b 4.519
_cell_length_c 4.370
_cell_angle_alpha 90.00
_cell_angle_beta 90.00
_cell_angle_gamma 90.00
_space_group_name_H-M_alt 'P 4/m m m'
_space_group_IT_number 123
_space_group_name_Hall '-P 4 2'
loop_
_atom_site_label
_atom_site_type_symbol
_atom_site_fract_x
_atom_site_fract_y
_atom_site_fract_z
Sc1 Sc 0.000 0.000 0.000
Ni1 Ni 0.000 0.500 0.000
Ge1 Ge 0.500 0.500 0.500
B1 B 0.000 0.000 0.500

***

No. 4
# GGA-PBE K3Y3GaO8, optimized geometry
# Uncorrected energy, eV per atom: -6.761
# Fermi-level density of states, states/eV per atom: 0.837
# E_form (uncorrected), meV/atom: -2403
data_K3Y3GaO8
_chemical_formula_sum 'K9 Y9 Ga3 O24'
_cell_length_a 6.8013
_cell_length_b 6.8013
_cell_length_c 18.8058
_cell_angle_alpha 90.00
_cell_angle_beta 90.00
_cell_angle_gamma 120.00
_space_group_name_H-M_alt 'R -3 m'
_space_group_IT_number 166
_space_group_name_Hall '-R 3 2"'
loop_
_atom_site_label
_atom_site_type_symbol
_atom_site_fract_x
_atom_site_fract_y
_atom_site_fract_z
K1 K 0.0000 0.5000 0.0000
Y1 Y 0.0000 0.5000 0.5000
Ga1 Ga 0.0000 0.0000 0.5000
O1 O 0.0000 0.0000 0.2279
O2 O 0.0275 0.5137 0.2241

***

No. 5
# GGA-PBE AcLa2PmY5, optimized geometry
# Uncorrected energy, eV per atom: -5.425
# Fermi-level density of states, states/eV per atom: 1.174
# Calculated formation energy, eV/atom: 0.25
data_AcLa2PmY5
_chemical_formula_sum 'Ac4 La8 Pm4 Y20'
_cell_length_a 8.849
_cell_length_b 8.849
_cell_length_c 16.067
_cell_angle_alpha 90.00
_cell_angle_beta 90.00
_cell_angle_gamma 90.00
_space_group_name_H-M_alt 'I 4/m c m'
_space_group_IT_number 140
_space_group_name_Hall '-I 4 2c'
loop_
_atom_site_label
_atom_site_type_symbol
_atom_site_fract_x
_atom_site_fract_y
_atom_site_fract_z
Ac1 Ac 0.000 0.500 0.250
La1 La 0.115 0.385 0.000
Pm1 Pm 0.000 0.000 0.250
Y1 Y 0.000 0.000 0.000
Y2 Y 0.215 0.285 0.364

***

No. 6
# GGA-PBE LiSc2Br, optimized geometry
# Uncorrected energy, eV per atom: -4.393
# Relative energy among the computed polymorphs, meV/atom: 93
# Fermi-level density of states, states/eV per atom: 1.455
# E_form (uncorrected), meV/atom: -330
data_LiSc2Br
_chemical_formula_sum 'Li2 Sc4 Br2'
_cell_length_a 3.398
_cell_length_b 3.596
_cell_length_c 15.507
_cell_angle_alpha 90.00
_cell_angle_beta 90.00
_cell_angle_gamma 90.00
_space_group_name_H-M_alt 'I m m m'
_space_group_IT_number 71
_space_group_name_Hall '-I 2 2'
loop_
_atom_site_label
_atom_site_type_symbol
_atom_site_fract_x
_atom_site_fract_y
_atom_site_fract_z
Li1 Li 0.000 0.000 0.000
Sc1 Sc 0.000 0.500 0.188
Br1 Br 0.000 0.000 0.500

***

No. 7
# GGA-PBE LiRhC2N, optimized geometry
# Uncorrected energy, eV per atom: -5.087
# Fermi-level density of states, states/eV per atom: 0.369
# E_form (uncorrected), meV/atom: 2121
data_LiRhC2N
_chemical_formula_sum 'Li1 Rh1 C2 N1'
_cell_length_a 3.620
_cell_length_b 3.620
_cell_length_c 3.959
_cell_angle_alpha 90.00
_cell_angle_beta 90.00
_cell_angle_gamma 90.00
_space_group_name_H-M_alt 'P 4/m m m'
_space_group_IT_number 123
_space_group_name_Hall '-P 4 2'
loop_
_atom_site_label
_atom_site_type_symbol
_atom_site_fract_x
_atom_site_fract_y
_atom_site_fract_z
Li1 Li 0.000 0.000 0.000
Rh1 Rh 0.500 0.500 0.000
C1 C 0.000 0.500 0.500
N1 N 0.500 0.500 0.500

***

No. 8
# GGA-PBE TeSe2, optimized geometry
# Uncorrected energy, eV per atom: -3.384
# Relative energy among the computed polymorphs, meV/atom: 1
# Fermi-level density of states, states/eV per atom: 0.198
# E_form (uncorrected), meV/atom: -14
data_TeSe2
_chemical_formula_sum 'Te4 Se8'
_cell_length_a 6.899
_cell_length_b 3.986
_cell_length_c 13.372
_cell_angle_alpha 90.00
_cell_angle_beta 99.41
_cell_angle_gamma 90.00
_space_group_name_H-M_alt 'C 1 2/m 1'
_space_group_IT_number 12
_space_group_name_Hall '-C 2y'
loop_
_atom_site_label
_atom_site_type_symbol
_atom_site_fract_x
_atom_site_fract_y
_atom_site_fract_z
Te1 Te 0.000 0.000 0.000
Te2 Te 0.000 0.500 0.500
Se1 Se 0.127 0.000 0.374
Se2 Se 0.206 0.500 0.126

***

No. 9
# GGA-PBE Ca2Zn7Au12, optimized geometry
# Uncorrected energy, eV per atom: -2.801
# Fermi-level density of states, states/eV per atom: 0.196
# Calculated formation energy, eV/atom: -0.31
data_Ca2Zn7Au12
_chemical_formula_sum 'Ca2 Zn7 Au12'
_cell_length_a 10.6003
_cell_length_b 10.6003
_cell_length_c 4.1274
_cell_angle_alpha 90.00
_cell_angle_beta 90.00
_cell_angle_gamma 120.00
_space_group_name_H-M_alt 'P -3'
_space_group_IT_number 147
_space_group_name_Hall '-P 3'
loop_
_atom_site_label
_atom_site_type_symbol
_atom_site_fract_x
_atom_site_fract_y
_atom_site_fract_z
Ca1 Ca 0.3333 0.6667 0.2443
Zn1 Zn 0.0000 0.0000 0.5000
Zn2 Zn 0.1093 0.7063 0.7332
Au1 Au 0.0754 0.4500 0.7553
Au2 Au 0.1236 0.2592 0.2290

***

No. 10
# GGA-PBE ScSbCI2, optimized geometry
# Uncorrected energy, eV per atom: -3.446
# Relative energy among the computed polymorphs, meV/atom: 301
# Fermi-level density of states, states/eV per atom: 1.386
# E_form (uncorrected), meV/atom: 1110
data_ScSbCI2
_chemical_formula_sum 'Sc1 Sb1 C1 I2'
_cell_length_a 5.600
_cell_length_b 5.600
_cell_length_c 5.797
_cell_angle_alpha 90.00
_cell_angle_beta 90.00
_cell_angle_gamma 90.00
_space_group_name_H-M_alt 'P 4/m m m'
_space_group_IT_number 123
_space_group_name_Hall '-P 4 2'
loop_
_atom_site_label
_atom_site_type_symbol
_atom_site_fract_x
_atom_site_fract_y
_atom_site_fract_z
Sc1 Sc 0.000 0.000 0.000
Sb1 Sb 0.000 0.000 0.500
C1 C 0.500 0.500 0.500
I1 I 0.000 0.500 0.000

***

No. 11
# GGA-PBE TbDyYAl, optimized geometry
# Uncorrected energy, eV per atom: -5.052
# Relative energy among the computed polymorphs, meV/atom: 0
# Fermi-level density of states, states/eV per atom: 0.974
# Calculated formation energy, eV/atom: -0.19
data_TbDyYAl
_chemical_formula_sum 'Tb1 Dy1 Y1 Al1'
_cell_length_a 3.518
_cell_length_b 3.518
_cell_length_c 9.033
_cell_angle_alpha 90.00
_cell_angle_beta 90.00
_cell_angle_gamma 90.00
_space_group_name_H-M_alt 'P 4 m m'
_space_group_IT_number 99
_space_group_name_Hall 'P 4 -2'
loop_
_atom_site_label
_atom_site_type_symbol
_atom_site_fract_x
_atom_site_fract_y
_atom_site_fract_z
Tb1 Tb 0.000 0.000 0.000
Dy1 Dy 0.500 0.500 0.285
Y1 Y 0.500 0.500 0.711
Al1 Al 0.000 0.000 0.498

***

No. 12
# GGA-PBE Pr2Nd3Ga2, optimized geometry
# Uncorrected energy, eV per atom: -4.564
# Fermi-level density of states, states/eV per atom: 1.205
# Calculated formation energy, eV/atom: -0.29
data_Pr2Nd3Ga2
_chemical_formula_sum 'Pr4 Nd6 Ga4'
_cell_length_a 12.456
_cell_length_b 4.258
_cell_length_c 8.925
_cell_angle_alpha 90.00
_cell_angle_beta 113.48
_cell_angle_gamma 90.00
_space_group_name_H-M_alt 'C 1 2/m 1'
_space_group_IT_number 12
_space_group_name_Hall '-C 2y'
loop_
_atom_site_label
_atom_site_type_symbol
_atom_site_fract_x
_atom_site_fract_y
_atom_site_fract_z
Pr1 Pr 0.154 0.000 0.314
Nd1 Nd 0.000 0.500 0.500
Nd2 Nd 0.121 0.500 0.939
Ga1 Ga 0.172 0.000 0.715